--- P ---
The following is a DFT calculation (meta-GGA SCAN) of a crystal of BaGaCl2 relaxed with PBEsol.

```
BaGaCl2
1.0
0.000 3.736 3.736
3.736 0.000 3.736
3.736 3.736 0.000
Ba Ga Cl
1 1 2
Direct
0.000 0.000 0.000 Ba
0.500 0.500 0.500 Ga
0.250 0.250 0.250 Cl
0.750 0.750 0.750 Cl
```

---

--- Q ---
The following is a DFT calculation (meta-GGA SCAN) of a crystal of BaGaCl2 relaxed with PBEsol.

```
BaGaCl2
1.0
2.345 1.354 8.655
-2.345 1.354 8.655
0.000 -2.708 8.655
Ba Ga Cl
1 1 2
Direct
0.000 0.000 0.000 Ba
0.500 0.500 0.500 Ga
0.385 0.385 0.385 Cl
0.615 0.615 0.615 Cl
```

---

Of them, the most stable is Q and the least stable is P.

---

--- P ---
The following is a DFT calculation (meta-GGA SCAN) of a crystal of BaHS2Cl relaxed with PBEsol.

```
BaHS2Cl
1.0
6.330 0.000 0.000
0.000 6.330 0.000
0.000 0.000 5.906
Ba H S Cl
1 1 2 1
Direct
0.000 0.000 0.000 Ba
0.500 0.500 0.500 H
0.000 0.500 0.000 S
0.500 0.000 0.000 S
0.000 0.000 0.500 Cl
```

---

--- Q ---
The following is a DFT calculation (meta-GGA SCAN) of a crystal of BaHS2Cl relaxed with PBEsol.

```
BaHS2Cl
1.0
4.113 0.000 0.000
0.000 4.113 0.000
0.000 0.000 5.673
Ba H S Cl
1 1 2 1
Direct
0.000 0.000 0.000 Ba
0.500 0.500 0.500 H
0.000 0.500 0.500 S
0.500 0.000 0.500 S
0.500 0.500 0.000 Cl
```

---

Of them, the most stable is Q and the least stable is P.

---

--- P ---
The following is a DFT calculation (meta-GGA SCAN) of a crystal of BaHg2Cl relaxed with PBEsol.

```
BaHg2Cl
1.0
3.040 -3.095 0.000
3.040 3.095 0.000
0.000 0.000 6.310
Ba Hg Cl
1 2 1
Direct
0.000 0.000 0.000 Ba
0.257 0.743 0.500 Hg
0.743 0.257 0.500 Hg
0.500 0.500 0.000 Cl
```

---

--- Q ---
The following is a DFT calculation (meta-GGA SCAN) of a crystal of BaHg2Cl relaxed with PBEsol.

```
BaHg2Cl
1.0
4.147 0.000 0.000
0.000 4.147 0.000
0.000 0.000 6.907
Ba Hg Cl
1 2 1
Direct
0.000 0.000 0.000 Ba
0.000 0.000 0.508 Hg
0.500 0.500 0.643 Hg
0.500 0.500 0.136 Cl
```

---

Of them, the most stable is P and the least stable is Q.

---

--- P ---
The following is a DFT calculation (meta-GGA SCAN) of a crystal of Ba2HgCl relaxed with PBEsol.

```
Ba2HgCl
1.0
2.306 1.331 7.953
-2.306 1.331 7.953
0.000 -2.662 7.953
Ba Hg Cl
2 1 1
Direct
0.246 0.246 0.246 Ba
0.754 0.754 0.754 Ba
0.000 0.000 0.000 Hg
0.500 0.500 0.500 Cl
```

---

--- Q ---
The following is a DFT calculation (meta-GGA SCAN) of a crystal of Ba2HgCl relaxed with PBEsol.

```
Ba2HgCl
1.0
0.000 4.069 4.069
4.069 0.000 4.069
4.069 4.069 0.000
Ba Hg Cl
2 1 1
Direct
0.250 0.250 0.250 Ba
0.750 0.750 0.750 Ba
0.000 0.000 0.000 Hg
0.500 0.500 0.500 Cl
```

---

Of them, the most stable is P and the least stable is Q.

---

--- P ---
The following is a DFT calculation (meta-GGA SCAN) of a crystal of Ba2InCl relaxed with PBEsol.

```
Ba2InCl
1.0
3.826 0.000 0.000
0.000 3.826 0.000
0.000 0.000 8.974
Ba In Cl
2 1 1
Direct
0.000 0.000 0.242 Ba
0.000 0.000 0.758 Ba
0.500 0.500 0.500 In
0.500 0.500 0.000 Cl
```

---

--- Q ---
The following is a DFT calculation (meta-GGA SCAN) of a crystal of Ba2InCl relaxed with PBEsol.

```
Ba2InCl
1.0
4.198 0.000 0.000
0.000 4.069 0.000
-0.015 0.000 9.037
Ba In Cl
2 1 1
Direct
0.001 0.000 0.232 Ba
0.999 0.000 0.768 Ba
0.500 0.500 0.000 In
0.000 0.500 0.500 Cl
```

---

--- R ---
The following is a DFT calculation (meta-GGA SCAN) of a crystal of Ba2InCl relaxed with PBEsol.

```
Ba2InCl
1.0
6.154 0.000 0.000
0.000 6.154 0.000
0.000 0.000 3.993
Ba In Cl
2 1 1
Direct
0.000 0.500 0.000 Ba
0.500 0.000 0.000 Ba
0.000 0.000 0.500 In
0.500 0.500 0.997 Cl
```

---

--- S ---
The following is a DFT calculation (meta-GGA SCAN) of a crystal of Ba2InCl relaxed with PBEsol.

```
Ba2InCl
1.0
-2.330 2.330 6.935
2.330 -2.330 6.935
2.330 2.330 -6.935
Ba In Cl
2 1 1
Direct
0.000 0.000 0.000 Ba
0.750 0.250 0.500 Ba
0.250 0.750 0.500 In
0.500 0.500 0.000 Cl
```

---

Of them, the most stable is Q and the least stable is S.

---

--- P ---
The following is a DFT calculation (meta-GGA SCAN) of a crystal of BaInCl2 relaxed with PBEsol.

```
BaInCl2
1.0
3.682 -4.569 0.000
3.682 4.569 0.000
-2.021 0.000 3.744
Ba In Cl
1 1 2
Direct
0.000 0.000 0.000 Ba
0.500 0.500 0.000 In
0.000 0.500 0.500 Cl
0.500 0.000 0.500 Cl
```

---

--- Q ---
The following is a DFT calculation (meta-GGA SCAN) of a crystal of BaInCl2 relaxed with PBEsol.

```
BaInCl2
1.0
3.695 0.000 0.000
0.000 3.695 0.000
0.000 0.000 9.421
Ba In Cl
1 1 2
Direct
0.000 0.000 0.000 Ba
0.000 0.000 0.500 In
0.500 0.500 0.181 Cl
0.500 0.500 0.819 Cl
```

---

--- R ---
The following is a DFT calculation (meta-GGA SCAN) of a crystal of BaInCl2 relaxed with PBEsol.

```
BaInCl2
1.0
2.247 1.297 9.091
-2.247 1.297 9.091
0.000 -2.595 9.091
Ba In Cl
1 1 2
Direct
0.000 0.000 0.000 Ba
0.500 0.500 0.500 In
0.277 0.277 0.277 Cl
0.723 0.723 0.723 Cl
```

---

Of them, the most stable is Q and the least stable is P.

---

--- P ---
The following is a DFT calculation (meta-GGA SCAN) of a crystal of K2BaCl relaxed with PBEsol.

```
K2BaCl
1.0
2.345 -3.469 0.000
2.345 3.469 0.000
0.000 0.000 11.747
K Ba Cl
2 1 1
Direct
0.000 0.000 0.166 K
0.000 0.000 0.834 K
0.500 0.500 0.500 Ba
0.500 0.500 0.000 Cl
```

---

--- Q ---
The following is a DFT calculation (meta-GGA SCAN) of a crystal of K2BaCl relaxed with PBEsol.

```
K2BaCl
1.0
2.170 1.253 11.885
-2.170 1.253 11.885
0.000 -2.506 11.885
K Ba Cl
2 1 1
Direct
0.000 0.000 0.000 K
0.223 0.223 0.223 K
0.448 0.448 0.448 Ba
0.721 0.721 0.721 Cl
```

---

Of them, the most stable is Q and the least stable is P.

---

--- P ---
The following is a DFT calculation (meta-GGA SCAN) of a crystal of KBaCl2 relaxed with PBEsol.

```
KBaCl2
1.0
4.736 0.000 0.000
0.000 5.865 0.000
-0.427 0.000 5.958
K Ba Cl
1 1 2
Direct
0.000 0.000 0.000 K
0.420 0.500 0.548 Ba
0.301 0.500 0.048 Cl
0.467 0.000 0.656 Cl
```

---

--- Q ---
The following is a DFT calculation (meta-GGA SCAN) of a crystal of KBaCl2 relaxed with PBEsol.

```
KBaCl2
1.0
0.000 3.814 3.814
3.814 0.000 3.814
3.814 3.814 0.000
K Ba Cl
1 1 2
Direct
0.000 0.000 0.000 K
0.500 0.500 0.500 Ba
0.250 0.250 0.250 Cl
0.750 0.750 0.750 Cl
```

---

--- R ---
The following is a DFT calculation (meta-GGA SCAN) of a crystal of KBaCl2 relaxed with PBEsol.

```
KBaCl2
1.0
8.694 -2.158 0.000
8.694 2.158 0.000
-0.033 0.000 4.308
K Ba Cl
1 1 2
Direct
0.000 0.000 0.000 K
0.717 0.717 0.506 Ba
0.189 0.189 0.005 Cl
0.544 0.544 0.501 Cl
```

---

Of them, the most stable is R and the least stable is Q.

---

--- P ---
The following is a DFT calculation (meta-GGA SCAN) of a crystal of BaLa2Cl8 relaxed with PBEsol.

```
BaLa2Cl8
1.0
-6.305 6.305 4.025
6.305 -6.305 4.025
6.305 6.305 -4.025
Ba La Cl
2 4 16
Direct
0.000 0.000 0.000 Ba
0.750 0.250 0.500 Ba
0.173 0.028 0.581 La
0.408 0.827 0.855 La
0.447 0.592 0.419 La
0.972 0.553 0.145 La
0.048 0.324 0.213 Cl
0.070 0.504 0.896 Cl
0.111 0.835 0.787 Cl
0.165 0.952 0.276 Cl
0.189 0.502 0.581 Cl
0.193 0.241 0.805 Cl
0.392 0.811 0.313 Cl
0.436 0.388 0.195 Cl
0.496 0.393 0.567 Cl
0.498 0.079 0.687 Cl
0.607 0.174 0.104 Cl
0.612 0.807 0.048 Cl
0.676 0.889 0.724 Cl
0.759 0.564 0.952 Cl
0.826 0.930 0.433 Cl
0.921 0.608 0.419 Cl
```

---

--- Q ---
The following is a DFT calculation (meta-GGA SCAN) of a crystal of BaLa2Cl8 relaxed with PBEsol.

```
BaLa2Cl8
1.0
4.315 -6.345 0.000
4.315 6.345 0.000
-1.255 0.000 5.251
Ba La Cl
1 2 8
Direct
0.000 0.000 0.000 Ba
0.319 0.681 0.500 La
0.681 0.319 0.500 La
0.060 0.321 0.578 Cl
0.246 0.754 0.000 Cl
0.321 0.060 0.578 Cl
0.381 0.381 0.194 Cl
0.619 0.619 0.806 Cl
0.679 0.940 0.422 Cl
0.754 0.246 0.000 Cl
0.940 0.679 0.422 Cl
```

---

Of them, the most stable is Q and the least stable is P.

---

--- P ---
The following is a DFT calculation (meta-GGA SCAN) of a crystal of Ba2LaCl relaxed with PBEsol.

```
Ba2LaCl
1.0
2.081 -3.370 0.000
2.081 3.370 0.000
0.000 0.000 11.366
Ba La Cl
2 1 1
Direct
0.000 0.000 0.000 Ba
0.500 0.500 0.322 Ba
0.500 0.500 0.725 La
0.000 0.000 0.536 Cl
```

---

--- Q ---
The following is a DFT calculation (meta-GGA SCAN) of a crystal of Ba2LaCl relaxed with PBEsol.

```
Ba2LaCl
1.0
-1.958 3.526 6.140
1.958 -3.526 6.140
1.958 3.526 -6.140
Ba La Cl
2 1 1
Direct
0.199 0.199 0.000 Ba
0.801 0.801 0.000 Ba
0.500 0.000 0.500 La
0.000 0.500 0.500 Cl
```

---

Of them, the most stable is P and the least stable is Q.

---

--- P ---
The following is a DFT calculation (meta-GGA SCAN) of a crystal of BaOsCl2 relaxed with PBEsol.

```
BaOsCl2
1.0
3.162 -3.774 0.000
3.162 3.774 0.000
0.000 0.000 3.851
Ba Os Cl
1 1 2
Direct
0.000 0.000 0.000 Ba
0.500 0.500 0.000 Os
0.313 0.687 0.500 Cl
0.687 0.313 0.500 Cl
```

---

--- Q ---
The following is a DFT calculation (meta-GGA SCAN) of a crystal of BaOsCl2 relaxed with PBEsol.

```
BaOsCl2
1.0
1.659 0.958 9.205
-1.659 0.958 9.205
0.000 -1.915 9.205
Ba Os Cl
1 1 2
Direct
0.000 0.000 0.000 Ba
0.500 0.500 0.500 Os
0.417 0.417 0.417 Cl
0.583 0.583 0.583 Cl
```

---

Of them, the most stable is P and the least stable is Q.

---

--- P ---
The following is a DFT calculation (meta-GGA SCAN) of a crystal of BaOsCl2 relaxed with PBEsol.

```
BaOsCl2
1.0
3.825 0.000 0.000
0.000 3.825 0.000
0.000 0.000 7.029
Ba Os Cl
1 1 2
Direct
0.000 0.000 0.000 Ba
0.000 0.000 0.500 Os
0.500 0.500 0.232 Cl
0.500 0.500 0.768 Cl
```

---

--- Q ---
The following is a DFT calculation (meta-GGA SCAN) of a crystal of BaOsCl2 relaxed with PBEsol.

```
BaOsCl2
1.0
3.840 0.000 0.000
0.000 4.844 0.000
0.000 0.000 4.865
Ba Os Cl
1 1 2
Direct
0.000 0.000 0.000 Ba
0.000 0.500 0.500 Os
0.500 0.000 0.500 Cl
0.500 0.500 0.000 Cl
```

---

Of them, the most stable is Q and the least stable is P.